[1]
First-principles (PBE) data for a relaxed structure of YRe2, as listed in Alexandria.

Unit cell a=4.941 b=14.214 c=3.138 alpha=90.00 beta=90.00 gamma=90.00
Positions (direct):
Y  0.000  0.096  0.250
Y  0.000  0.904  0.750
Y  0.500  0.404  0.750
Y  0.500  0.596  0.250
Re  0.000  0.273  0.750
Re  0.000  0.422  0.250
Re  0.000  0.578  0.750
Re  0.000  0.727  0.250
Re  0.500  0.078  0.750
Re  0.500  0.227  0.250
Re  0.500  0.773  0.750
Re  0.500  0.922  0.250

Values from the calculation:
Raw total energy = -10.101 eV per atom

=====

[2]
First-principles (PBE) data for a relaxed structure of DyHoSe2, as listed in Alexandria.

Unit cell a=4.075 b=4.075 c=19.811 alpha=90.00 beta=90.00 gamma=120.00
Positions (direct):
Dy  0.000  0.000  0.000
Dy  0.333  0.667  0.667
Dy  0.667  0.333  0.333
Ho  0.000  0.000  0.500
Ho  0.333  0.667  0.167
Ho  0.667  0.333  0.833
Se  0.000  0.000  0.249
Se  0.000  0.000  0.751
Se  0.333  0.667  0.417
Se  0.333  0.667  0.916
Se  0.667  0.333  0.084
Se  0.667  0.333  0.583

Values from the calculation:
Formation energy from raw total energies = -167.4 kJ per mole of atoms
Energy relative to the lowest polymorph listed for this composition = 0 meV/atom

=====

[3]
First-principles (PBE) data for a relaxed structure of MoH2N, as listed in Alexandria.

Unit cell a=2.943 b=2.943 c=14.431 alpha=90.00 beta=90.00 gamma=90.00
Positions (direct):
Mo  0.000  0.250  0.375
Mo  0.000  0.750  0.625
Mo  0.500  0.250  0.125
Mo  0.500  0.750  0.875
H  0.000  0.000  0.500
H  0.000  0.500  0.500
H  0.250  0.250  0.250
H  0.250  0.750  0.750
H  0.500  0.000  0.000
H  0.500  0.500  0.000
H  0.750  0.250  0.250
H  0.750  0.750  0.750
N  0.000  0.250  0.875
N  0.000  0.750  0.125
N  0.500  0.250  0.625
N  0.500  0.750  0.375

Values from the calculation:
Energy relative to the lowest polymorph listed for this composition = 0 meV/atom

=====

[4]
First-principles (PBE) data for a relaxed structure of LaPrTl, as listed in Alexandria.

Unit cell a=4.679 b=4.908 c=8.897 alpha=90.00 beta=90.00 gamma=90.00
Positions (direct):
La  0.250  0.250  0.139
La  0.750  0.750  0.861
Pr  0.250  0.750  0.533
Pr  0.750  0.250  0.467
Tl  0.250  0.250  0.771
Tl  0.750  0.750  0.229

Values from the calculation:
Energy relative to the lowest polymorph listed for this composition = 21 meV/atom

=====

[5]
First-principles (PBE) data for a relaxed structure of TaMo, as listed in Alexandria.

Unit cell a=3.221 b=4.600 c=18.273 alpha=90.00 beta=90.00 gamma=90.00
Positions (direct):
Ta  0.000  0.000  0.000
Ta  0.000  0.000  0.500
Ta  0.000  0.500  0.129
Ta  0.000  0.500  0.871
Ta  0.500  0.000  0.371
Ta  0.500  0.000  0.629
Ta  0.500  0.500  0.000
Ta  0.500  0.500  0.500
Mo  0.000  0.000  0.248
Mo  0.000  0.000  0.752
Mo  0.000  0.500  0.371
Mo  0.000  0.500  0.629
Mo  0.500  0.000  0.129
Mo  0.500  0.000  0.871
Mo  0.500  0.500  0.252
Mo  0.500  0.500  0.748

Values from the calculation:
Raw total energy = -11.451 eV per atom